# RbCr2I2 | Alexandria | PBE | optimized geometry
# Relative energy among the computed polymorphs in eV per atom: 0.024
# Uncorrected energy in eV/atom: -4.349
# ρ in kg/m³: 4869
# Formation energy (no corrections) in eV per atom: 0.314
data_RbCr2I2
_space_group_name_H-M_alt 'I 4/m m m'
_space_group_IT_number 139
_space_group_name_Hall '-I 4 2'
_cell_length_a 5.554
_cell_length_b 5.554
_cell_length_c 9.801
_cell_angle_alpha 90.00
_cell_angle_beta 90.00
_cell_angle_gamma 90.00
loop_
_atom_site_label
_atom_site_type_symbol
_atom_site_fract_x
_atom_site_fract_y
_atom_site_fract_z
_atom_site_occupancy
Rb1 Rb 0.000 0.000 0.000 1
Cr1 Cr 0.000 0.000 0.412 1
I1 I 0.000 0.500 0.250 1